This record from Alexandria via LeMat-Bulk describes a geometry-optimized Li2PmY2Bi2 structure. The functional is PBE.

Calculated values
The value obtained for the formation enthalpy at 0 K is -0.43 eV per atom. Its total energy is -4.608 eV/atom. Its space group is No. 166. The calculation puts the density of states at the Fermi level at 0.728 states/eV per atom.

```
Li2PmY2Bi2
1.0
4.885 0.000 0.000
2.442 4.230 0.000
2.442 1.410 9.032
Li Pm Y Bi
2 1 2 2
Direct
0.588 0.588 0.237 Li
0.412 0.412 0.763 Li
0.000 0.000 0.000 Pm
0.132 0.132 0.605 Y
0.868 0.868 0.395 Y
0.736 0.736 0.791 Bi
0.264 0.264 0.209 Bi
```

***

This record from Alexandria via LeMat-Bulk describes a geometry-optimized Y2AlCu structure. The functional is PBE.

Calculated values
The value obtained for the formation enthalpy at 0 K is -0.15 eV per atom. Its total energy is -5.339 eV/atom. Its space group is No. 99. The calculation puts the density of states at the Fermi level at 1.194 states/eV per atom.

```
Y2AlCu
1.0
-0.759 3.127 -0.669
-2.605 -0.206 1.993
4.693 2.505 6.393
Y Al Cu
2 1 1
Direct
0.000 0.000 0.947 Y
0.500 0.500 0.291 Y
0.000 0.000 0.556 Al
0.500 0.500 0.706 Cu
```

***

This record from Alexandria via LeMat-Bulk describes a geometry-optimized HfOs3Ru structure. The functional is PBE.

Calculated values
The value obtained for the formation enthalpy at 0 K is 1.71 eV per atom. The excess energy over the best structure of this formula in the dataset is 0.0 meV per atom. Its total energy is -8.872 eV/atom. Its space group is No. 221. The calculation puts the density of states at the Fermi level at 1.350 states/eV per atom.

```
HfOs3Ru
1.0
4.632 0.000 0.000
0.000 4.632 0.000
0.000 0.000 4.632
Hf Os Ru
1 3 1
Direct
0.500 0.500 0.500 Hf
0.000 0.500 0.000 Os
0.000 0.000 0.500 Os
0.500 0.000 0.000 Os
0.000 0.000 0.000 Ru
```

***

This record from Alexandria via LeMat-Bulk describes a geometry-optimized Nb4IrN structure. The functional is PBE.

Calculated values
Its total energy is -9.858 eV/atom. For the formation energy (no corrections), the calculation gives -0.280 eV/atom. Its space group is No. 14. The calculation puts the density of states at the Fermi level at 0.729 states/eV per atom.

```
Nb4IrN
1.0
5.390 0.000 0.308
0.000 5.616 0.000
0.272 0.000 6.451
Nb Ir N
8 2 2
Direct
0.914 0.604 0.192 Nb
0.586 0.104 0.808 Nb
0.354 0.359 0.396 Nb
0.146 0.859 0.604 Nb
0.086 0.396 0.808 Nb
0.414 0.896 0.192 Nb
0.646 0.641 0.604 Nb
0.854 0.141 0.396 Nb
0.000 0.000 0.000 Ir
0.500 0.500 0.000 Ir
0.500 0.000 0.500 N
0.000 0.500 0.500 N
```

***

This record from Alexandria via LeMat-Bulk describes a geometry-optimized Na3Np2FeSe6 structure. The functional is PBE.

Calculated values
Its total energy is -5.896 eV/atom. For the formation energy (no corrections), the calculation gives -0.962 eV/atom. Its space group is No. 12. The calculation puts the density of states at the Fermi level at 1.962 states/eV per atom.

```
Na3Np2FeSe6
1.0
-1.783 3.736 -5.671
-3.378 -5.976 1.477
-2.910 4.307 5.203
Na Np Fe Se
3 2 1 6
Direct
0.168 0.832 0.500 Na
0.832 0.168 0.500 Na
0.500 0.500 0.500 Na
0.333 0.667 0.000 Np
0.667 0.333 0.000 Np
0.000 0.000 0.000 Fe
0.926 0.606 0.777 Se
0.755 0.755 0.222 Se
0.074 0.394 0.223 Se
0.606 0.926 0.777 Se
0.245 0.245 0.778 Se
0.394 0.074 0.223 Se
```

***

This record from Alexandria via LeMat-Bulk describes a geometry-optimized Pa2Ni5B4 structure. The functional is PBE.

Calculated values
The value obtained for the formation enthalpy at 0 K is -0.45 eV per atom. Its total energy is -7.230 eV/atom. Its space group is No. 12. The calculation puts the density of states at the Fermi level at 0.729 states/eV per atom.

```
Pa2Ni5B4
1.0
-2.400 1.835 -4.065
1.046 -2.284 -4.803
-4.488 -3.632 -2.144
Pa Ni B
2 5 4
Direct
0.257 0.840 0.646 Pa
0.743 0.160 0.354 Pa
0.166 0.294 0.881 Ni
0.834 0.706 0.119 Ni
0.000 0.500 0.500 Ni
0.658 0.294 0.881 Ni
0.342 0.706 0.119 Ni
0.411 0.027 0.151 B
0.589 0.973 0.849 B
0.777 0.644 0.802 B
0.223 0.356 0.198 B
```

***

This record from Alexandria via LeMat-Bulk describes a geometry-optimized Zn2CrI8 structure. The functional is PBE.

Calculated values
Its total energy is -2.622 eV/atom. For the formation energy (no corrections), the calculation gives -0.388 eV/atom. Its space group is No. 12. The calculation puts the density of states at the Fermi level at 0.196 states/eV per atom.

```
Zn2CrI8
1.0
-3.977 5.450 1.776
-7.173 -2.125 -4.246
-2.925 -2.872 7.563
Zn Cr I
2 1 8
Direct
0.327 0.205 0.205 Zn
0.673 0.795 0.795 Zn
0.000 0.000 0.000 Cr
0.809 0.060 0.748 I
0.191 0.252 0.940 I
0.705 0.209 0.209 I
0.295 0.791 0.791 I
0.809 0.748 0.060 I
0.191 0.940 0.252 I
0.231 0.436 0.436 I
0.769 0.564 0.564 I
```

***

This record from Alexandria via LeMat-Bulk describes a geometry-optimized NdDy7Tm4 structure. The functional is PBE.

Calculated values
The value obtained for the formation enthalpy at 0 K is 0.02 eV per atom. The excess energy over the best structure of this formula in the dataset is 25.4 meV per atom. Its total energy is -4.549 eV/atom. Its space group is No. 164. The calculation puts the density of states at the Fermi level at 1.472 states/eV per atom.

```
NdDy7Tm4
1.0
3.536 0.000 0.000
-1.768 3.062 0.000
0.000 0.000 34.569
Nd Dy Tm
1 7 4
Direct
0.000 0.000 0.500 Nd
0.000 0.000 0.000 Dy
0.667 0.333 0.586 Dy
0.333 0.667 0.414 Dy
0.667 0.333 0.835 Dy
0.333 0.667 0.165 Dy
0.000 0.000 0.249 Dy
0.000 0.000 0.751 Dy
0.667 0.333 0.083 Tm
0.333 0.667 0.917 Tm
0.667 0.333 0.332 Tm
0.333 0.667 0.668 Tm
```

***

This record from Alexandria via LeMat-Bulk describes a geometry-optimized Li3PmZn8 structure. The functional is PBE.

Calculated values
The value obtained for the formation enthalpy at 0 K is -0.21 eV per atom. Its total energy is -1.932 eV/atom. Its space group is No. 160. The calculation puts the density of states at the Fermi level at 0.358 states/eV per atom.

```
Li3PmZn8
1.0
5.010 0.000 1.513
2.277 4.463 1.513
-0.060 -0.037 9.255
Li Pm Zn
3 1 8
Direct
0.375 0.375 0.876 Li
0.004 0.004 0.988 Li
0.492 0.492 0.525 Li
0.876 0.876 0.373 Pm
0.943 0.440 0.177 Zn
0.433 0.937 0.694 Zn
0.440 0.440 0.177 Zn
0.937 0.937 0.694 Zn
0.186 0.186 0.441 Zn
0.689 0.689 0.934 Zn
0.440 0.943 0.177 Zn
0.937 0.433 0.694 Zn
```

***

This record from Alexandria via LeMat-Bulk describes a geometry-optimized NdSm5Ru3 structure. The functional is PBE.

Calculated values
The value obtained for the formation enthalpy at 0 K is -0.15 eV per atom. Its total energy is -6.398 eV/atom. Its space group is No. 12. The calculation puts the density of states at the Fermi level at 0.275 states/eV per atom.

```
NdSm5Ru3
1.0
7.791 0.106 0.080
2.235 7.464 0.080
3.070 2.318 9.432
Nd Sm Ru
2 10 6
Direct
0.103 0.103 0.700 Nd
0.897 0.897 0.300 Nd
0.966 0.364 0.332 Sm
0.302 0.698 0.000 Sm
0.767 0.767 0.034 Sm
0.432 0.432 0.368 Sm
0.568 0.568 0.632 Sm
0.233 0.233 0.966 Sm
0.364 0.966 0.332 Sm
0.698 0.302 0.000 Sm
0.034 0.636 0.668 Sm
0.636 0.034 0.668 Sm
0.667 0.667 0.833 Ru
0.664 0.664 0.332 Ru
0.000 0.000 0.000 Ru
0.000 0.000 0.500 Ru
0.333 0.333 0.167 Ru
0.336 0.336 0.668 Ru
```

***

This record from Alexandria via LeMat-Bulk describes a geometry-optimized MnIn2Fe structure. The functional is PBE.

Calculated values
The value obtained for the formation enthalpy at 0 K is 0.29 eV per atom. Its total energy is -5.483 eV/atom. Its space group is No. 225. The calculation puts the density of states at the Fermi level at 1.654 states/eV per atom.

```
MnIn2Fe
1.0
1.583 1.962 3.807
-2.627 0.196 3.730
1.009 -2.565 3.640
Mn Fe In
1 1 2
Direct
0.000 0.000 0.000 Mn
0.500 0.500 0.500 Fe
0.250 0.250 0.250 In
0.750 0.750 0.750 In
```

***

This record from Alexandria via LeMat-Bulk describes a geometry-optimized Tb3PmDy7 structure. The functional is PBE.

Calculated values
The value obtained for the formation enthalpy at 0 K is 0.14 eV per atom. The excess energy over the best structure of this formula in the dataset is 0.0 meV per atom. Its total energy is -4.480 eV/atom. Its space group is No. 10. The calculation puts the density of states at the Fermi level at 1.544 states/eV per atom.

```
Tb3PmDy7
1.0
8.383 -0.718 -2.865
-2.188 9.648 -0.613
-1.889 -0.098 5.208
Tb Pm Dy
3 1 7
Direct
0.221 0.002 0.721 Tb
0.000 0.500 0.000 Tb
0.779 0.998 0.279 Tb
0.500 0.500 0.500 Pm
0.921 0.831 0.921 Dy
0.823 0.642 0.323 Dy
0.647 0.290 0.147 Dy
0.353 0.710 0.853 Dy
0.500 0.000 0.500 Dy
0.177 0.358 0.677 Dy
0.079 0.169 0.079 Dy
```